Record 1
Material: Nd4AlCd3
Method: DFT, GGA-PBE
State: optimized geometry

```
Nd4AlCd3
1.0
3.6628 0.0000 0.0000
0.0000 4.9122 0.0000
0.0000 0.0000 12.5267
Nd Al Cd
4 1 3
direct
0.0000 0.0000 0.1560
0.0000 0.5000 0.8454
0.5000 0.0000 0.6607
0.5000 0.5000 0.3350
0.5000 0.5000 0.0697
0.0000 0.0000 0.4301
0.5000 0.0000 0.9344
0.0000 0.5000 0.5686
```

Symmetry = Pmm2, No. 25
Electronic total energy = -27.8 eV/cell
DOS at the Fermi energy = 6.602 states/eV/cell
DFT formation energy = -278 meV/atom
Distance to the lowest polymorph of the same formula = 36 kJ/mol of formula units

Record 2
Material: Nd8Al2Cd
Method: DFT, GGA-PBE
State: optimized geometry

```
Nd8Al2Cd
1.0
-0.4777 4.9944 -1.1118
-8.5081 -1.1821 -1.6549
2.8990 -0.4639 8.5473
Nd Al Cd
8 2 1
direct
0.3395 0.5580 0.6790
0.0000 0.3201 0.0000
0.8553 0.8553 0.7107
0.0000 0.6799 0.0000
0.3395 0.1210 0.6790
0.6605 0.4420 0.3210
0.6605 0.8790 0.3210
0.1447 0.1447 0.2893
0.1948 0.6948 0.3897
0.8052 0.3052 0.6103
0.5000 0.0000 0.0000
```

Symmetry = Immm, No. 71
Electronic total energy = -47.9 eV/cell
DOS at the Fermi energy = 13.538 states/eV/cell
DFT formation energy = -126 meV/atom
Distance to the lowest polymorph of the same formula = 28 kJ/mol of formula units

Record 3
Material: Nd3Al3Cd
Method: DFT, GGA-PBE
State: optimized geometry

```
Nd3Al3Cd
1.0
4.6560 0.0000 0.7014
2.2783 5.6147 0.6807
0.2446 0.3669 14.1812
Nd Cd Al
6 2 6
direct
0.2537 0.2817 0.2109
0.5447 0.2917 0.6189
0.4067 0.2717 0.9149
0.4553 0.7083 0.3811
0.7463 0.7183 0.7891
0.5933 0.7283 0.0851
0.7467 0.1133 0.3934
0.2533 0.8867 0.6066
0.1216 0.3041 0.4526
0.8784 0.6959 0.5474
0.9535 0.8611 0.2320
0.1086 0.8504 0.9324
0.8914 0.1496 0.0676
0.0465 0.1389 0.7680
```

Symmetry = C2/m, No. 12
Electronic total energy = -58.0 eV/cell
DOS at the Fermi energy = 11.335 states/eV/cell
DFT formation energy = -366 meV/atom

Record 4
Material: Nd6Al2Cd
Method: DFT, GGA-PBE
State: optimized geometry

```
Nd6Al2Cd
1.0
5.1775 0.0000 -0.1849
0.0000 7.4868 0.0000
-2.2708 -3.7434 7.8820
Nd Cd Al
6 1 2
direct
0.8312 0.0845 0.6622
0.5000 0.2588 0.0000
0.1688 0.9155 0.3378
0.8312 0.5778 0.6622
0.5000 0.7412 0.0000
0.1688 0.4222 0.3378
0.0000 0.0000 0.0000
0.3326 0.3324 0.6648
0.6674 0.6676 0.3352
```

Symmetry = C2/m, No. 12
Electronic total energy = -36.9 eV/cell
DOS at the Fermi energy = 13.264 states/eV/cell
DFT formation energy = 8 meV/atom
Distance to the lowest polymorph of the same formula = 183 kJ/mol of formula units

Record 5
Material: Nd3AlCd
Method: DFT, GGA-PBE
State: optimized geometry

```
Nd3AlCd
1.0
-1.6568 -1.0783 5.0007
1.1380 -5.2195 -0.7484
8.4656 0.9982 5.9111
Nd Cd Al
6 2 2
direct
0.8909 0.7500 0.8666
0.2641 0.7500 0.1202
0.3843 0.2500 0.8798
0.5721 0.2500 0.5042
0.0763 0.7500 0.4958
0.7575 0.2500 0.1334
0.9797 0.2500 0.6890
0.6687 0.7500 0.3110
0.4796 0.7500 0.6890
0.1687 0.2500 0.3110
```

Symmetry = Cmcm, No. 63
Electronic total energy = -40.3 eV/cell
DOS at the Fermi energy = 12.078 states/eV/cell
DFT formation energy = -240 meV/atom
Distance to the lowest polymorph of the same formula = 0 kJ/mol of formula units

Record 6
Material: Nd9Al2Cd
Method: DFT, GGA-PBE
State: optimized geometry

```
Nd9Al2Cd
1.0
-3.3542 0.8270 3.5133
-3.6090 -0.7093 -3.2786
-0.1334 -14.3914 3.2603
Nd Al Cd
9 2 1
direct
0.0000 0.5000 0.1720
0.5000 0.0000 0.1720
0.5000 0.0000 0.5000
0.0000 0.5000 0.5000
0.5000 0.5000 0.0000
0.5000 0.5000 0.3346
0.0000 0.5000 0.8280
0.5000 0.5000 0.6654
0.5000 0.0000 0.8280
0.0000 0.0000 0.3341
0.0000 0.0000 0.6659
0.0000 0.0000 0.0000
```

Symmetry = P4/mmm, No. 123
Electronic total energy = -53.1 eV/cell
DOS at the Fermi energy = 17.969 states/eV/cell
DFT formation energy = -149 meV/atom

Record 7
Material: Nd7Al2Cd2
Method: DFT, GGA-PBE
State: optimized geometry

```
Nd7Al2Cd2
1.0
6.7950 -0.0026 -1.1099
0.0038 8.1270 0.0034
-1.5311 -0.0022 6.7127
Nd Al Cd
7 2 2
direct
0.5000 0.2464 0.5000
0.0000 0.0000 0.0000
0.0000 0.7176 0.5000
0.5000 0.7176 0.0000
0.5000 0.7536 0.5000
0.5000 0.2824 0.0000
0.0000 0.2824 0.5000
0.7102 0.0000 0.2898
0.2898 0.0000 0.7102
0.1782 0.5000 0.1782
0.8218 0.5000 0.8218
```

Symmetry = Cmmm, No. 65
Electronic total energy = -42.8 eV/cell
DOS at the Fermi energy = 14.156 states/eV/cell
DFT formation energy = -10 meV/atom

Record 8
Material: Nd12Al3Cd
Method: DFT, GGA-PBE
State: optimized geometry

```
Nd12Al3Cd
1.0
-1.3107 -4.4881 1.5344
-1.2902 -1.1945 -4.5960
18.2405 -6.5001 -3.4313
Nd Al Cd
12 3 1
direct
0.5000 0.5000 0.0000
0.5000 0.5000 0.2514
0.0000 0.5000 0.3756
0.5000 0.0000 0.8709
0.5000 0.5000 0.7486
0.5000 0.0000 0.1291
0.5000 0.0000 0.6244
0.5000 0.0000 0.3756
0.5000 0.5000 0.5000
0.0000 0.5000 0.8709
0.0000 0.5000 0.6244
0.0000 0.5000 0.1291
0.0000 0.0000 0.7490
0.0000 0.0000 0.5000
0.0000 0.0000 0.2510
0.0000 0.0000 0.0000
```

Symmetry = P4/mmm, No. 123
Electronic total energy = -71.9 eV/cell
DOS at the Fermi energy = 21.536 states/eV/cell
DFT formation energy = -156 meV/atom

Record 9
Material: Nd6AlCd5
Method: DFT, GGA-PBE
State: optimized geometry

```
Nd6AlCd5
1.0
5.1892 0.0219 -1.5144
-1.0593 6.7823 -3.5318
-0.0818 0.4754 9.3745
Nd Al Cd
6 1 5
direct
0.8373 0.0822 0.6746
0.1627 0.4077 0.3254
0.5000 0.2404 0.0000
0.1627 0.9178 0.3254
0.5000 0.7596 0.0000
0.8373 0.5923 0.6746
0.0000 0.0000 0.0000
0.3335 0.3335 0.6670
0.3285 0.8285 0.6570
0.6715 0.1715 0.3430
0.0000 0.5000 0.0000
0.6665 0.6665 0.3330
```

Symmetry = Immm, No. 71
Electronic total energy = -40.8 eV/cell
DOS at the Fermi energy = 15.321 states/eV/cell
DFT formation energy = -323 meV/atom

Record 10
Material: NdAlCd2
Method: DFT, GGA-PBE
State: optimized geometry

```
NdAlCd2
1.0
-2.4201 -3.6462 -2.0347
2.0508 0.8121 -3.8945
3.2847 -2.8175 1.1421
Nd Cd Al
1 2 1
direct
0.5000 0.5000 0.5000
0.0000 0.5000 0.0000
0.0000 0.0000 0.5000
0.5000 0.0000 0.0000
```

Symmetry = P4/mmm, No. 123
Electronic total energy = -11.4 eV/cell
DOS at the Fermi energy = 2.560 states/eV/cell
DFT formation energy = -263 meV/atom

Record 11
Material: Nd8AlCd2
Method: DFT, GGA-PBE
State: optimized geometry

```
Nd8AlCd2
1.0
-3.3745 -1.5069 -4.0445
6.5915 0.7276 -5.7707
0.1795 -6.4579 5.9670
Nd Al Cd
8 1 2
direct
0.5900 0.4407 0.1799
0.3215 0.0488 0.6429
0.9298 0.2796 0.8596
0.0702 0.7204 0.1404
0.6785 0.9512 0.3571
0.1322 0.1817 0.2644
0.4100 0.5593 0.8201
0.8678 0.8183 0.7356
0.5000 0.0000 0.0000
0.2284 0.6155 0.4568
0.7716 0.3845 0.5432
```

Symmetry = C2/m, No. 12
Electronic total energy = -45.4 eV/cell
DOS at the Fermi energy = 10.609 states/eV/cell
DFT formation energy = -156 meV/atom
Distance to the lowest polymorph of the same formula = 0 kJ/mol of formula units

Record 12
Material: Nd12AlCd6
Method: DFT, GGA-PBE
State: optimized geometry

```
Nd12AlCd6
1.0
8.1885 0.7074 0.8474
-0.5422 8.2011 0.8474
-0.5422 -0.6317 8.2206
Nd Cd Al
12 6 1
direct
0.4718 0.5522 0.1934
0.4478 0.8066 0.5282
0.8518 0.6287 0.9768
0.3713 0.0232 0.1482
0.5522 0.1934 0.4718
0.6287 0.9768 0.8518
0.1482 0.3713 0.0232
0.5282 0.4478 0.8066
0.8066 0.5282 0.4478
0.9768 0.8518 0.6287
0.1934 0.4718 0.5522
0.0232 0.1482 0.3713
0.2570 0.1087 0.7433
0.7430 0.8913 0.2567
0.1087 0.7433 0.2570
0.7433 0.2570 0.1087
0.8913 0.2567 0.7430
0.2567 0.7430 0.8913
0.0000 0.0000 0.0000
```

Symmetry = R-3, No. 148
Electronic total energy = -68.9 eV/cell
DOS at the Fermi energy = 21.695 states/eV/cell
DFT formation energy = -130 meV/atom

- Which of these has the highest DFT formation energy?
  Nd6Al2Cd

- Which formula does entry 4 have?
  Nd6Al2Cd